No. 1
RbTiTl PBE-GGA optimized geometry; energy relative to the elements = 0.305 eV/atom; volume = 120 Å³/f.u.; space group = No. 1; final energy = -3.4383 eV/atom; energy above the most stable polymorph in this dataset = 37 kJ/mol of formula units
1.0
4.160 0.000 0.000
2.080 4.716 0.000
0.061 2.077 12.242
Rb Ti Tl
2 2 2
Direct
0.000 0.000 0.000
0.359 0.303 0.348
0.256 0.495 0.767
0.827 0.357 0.647
0.102 0.810 0.541
0.545 0.917 0.739

No. 2
RbTi2Tl2 PBE-GGA optimized geometry; energy relative to the elements = 0.292 eV/atom; volume = 125 Å³/f.u.; space group = No. 127; final energy = -4.0062 eV/atom; energy above the most stable polymorph in this dataset = 0 kJ/mol of formula units
1.0
8.980 0.000 0.000
0.000 8.980 0.000
0.000 0.000 3.106
Rb Ti Tl
2 4 4
Direct
0.000 0.000 0.000
0.500 0.500 0.000
0.109 0.391 0.000
0.391 0.891 0.000
0.609 0.109 0.000
0.891 0.609 0.000
0.180 0.680 0.500
0.320 0.180 0.500
0.680 0.820 0.500
0.820 0.320 0.500